LaP2Au | PBE | relaxed

Results
E, eV per cell: -81.8
Volume, Å³/atom: 20.36
Space-group type: No. 225

Cell and atoms, written as extended XYZ:
```
16
Lattice="6.881 0.000 0.000 0.000 6.881 0.000 0.000 0.000 6.881" Properties=species:S:1:pos:R:3 pbc="T T T"
La 0.000 0.000 0.000
La 0.000 3.440 3.440
La 3.440 0.000 3.440
La 3.440 3.440 0.000
P 1.720 1.720 1.720
P 1.720 1.720 5.161
P 1.720 5.161 1.720
P 1.720 5.161 5.161
P 5.161 1.720 1.720
P 5.161 1.720 5.161
P 5.161 5.161 1.720
P 5.161 5.161 5.161
Au 0.000 0.000 3.440
Au 0.000 3.440 0.000
Au 3.440 0.000 0.000
Au 3.440 3.440 3.440
```

---

La2P4Pd3Au | PBE | relaxed

Results
E, eV per cell: -59.3
Volume, Å³/atom: 18.60
Space-group type: No. 115

Cell and atoms, written as extended XYZ:
```
10
Lattice="4.386 0.000 0.000 0.000 4.386 0.000 0.000 0.000 9.669" Properties=species:S:1:pos:R:3 pbc="T T T"
La 0.000 2.193 2.335
La 2.193 0.000 7.334
P 0.000 0.000 0.000
P 0.000 2.193 6.173
P 2.193 0.000 3.497
P 2.193 2.193 0.000
Pd 0.000 2.193 8.598
Pd 2.193 0.000 1.072
Pd 2.193 2.193 4.835
Au 0.000 0.000 4.835
```

---

La2P3Pd4Au | PBE | relaxed

Results
E, eV per cell: -58.7
Volume, Å³/atom: 18.86
Space-group type: No. 115

Cell and atoms, written as extended XYZ:
```
10
Lattice="4.226 0.000 0.000 0.000 4.226 0.000 0.000 0.000 10.558" Properties=species:S:1:pos:R:3 pbc="T T T"
La 0.000 2.113 2.587
La 2.113 0.000 7.971
P 0.000 2.113 9.231
P 2.113 0.000 1.327
P 2.113 2.113 5.279
Pd 0.000 0.000 0.000
Pd 0.000 2.113 6.909
Pd 2.113 0.000 3.650
Pd 2.113 2.113 0.000
Au 0.000 0.000 5.279
```

---

LaPu2P4Au | PBE | relaxed

Results
E, eV per cell: -131.8
Volume, Å³/atom: 22.69
Space-group type: No. 63

Cell and atoms, written as extended XYZ:
```
16
Lattice="2.031 -6.610 0.000 2.031 6.610 0.000 0.000 0.000 13.521" Properties=species:S:1:pos:R:3 pbc="T T T"
La 2.031 5.068 10.140
La 2.031 -5.068 3.380
Pu 2.031 1.713 7.570
Pu 2.031 1.713 12.711
Pu 2.031 -1.713 0.809
Pu 2.031 -1.713 5.951
P 0.000 0.000 0.000
P 0.000 0.000 6.760
P 2.031 3.060 1.512
P 2.031 3.060 5.249
P 2.031 0.585 10.140
P 2.031 -0.585 3.380
P 2.031 -3.060 8.272
P 2.031 -3.060 12.009
Au 2.031 4.644 3.380
Au 2.031 -4.644 10.140
```

---

La2P3Rh12Au | PBE | relaxed

Results
E, eV per cell: -121.0
Volume, Å³/atom: 17.50
Space-group type: No. 166

Cell and atoms, written as extended XYZ:
```
18
Lattice="4.295 2.480 4.929 -4.295 2.480 4.929 0.000 -4.959 4.929" Properties=species:S:1:pos:R:3 pbc="T T T"
La 0.000 0.000 1.614
La 0.000 0.000 13.174
P -2.147 -1.240 4.929
P -2.147 1.240 9.858
P 0.000 2.480 4.929
Rh -2.243 -1.295 7.137
Rh 0.000 -2.060 4.545
Rh -1.784 1.030 4.545
Rh 0.000 -2.590 7.651
Rh -2.243 1.295 7.651
Rh -1.784 -1.030 10.243
Rh 1.784 1.030 4.545
Rh 2.243 -1.295 7.137
Rh 0.000 2.590 7.137
Rh 1.784 -1.030 10.243
Rh 0.000 2.060 10.243
Rh 2.243 1.295 7.650
Au 0.000 0.000 7.394
```

---

LaPAuS2 | PBE | relaxed

Results
E, eV per cell: -23.9
Volume, Å³/atom: 22.84
E above lowest polymorph, meV per atom: 0.0
Space-group type: No. 123
Raw formation energy, meV per atom: -404

Cell and atoms, written as extended XYZ:
```
5
Lattice="4.903 0.000 0.000 0.000 4.903 0.000 0.000 0.000 4.750" Properties=species:S:1:pos:R:3 pbc="T T T"
La 0.000 0.000 0.000
P 2.452 2.452 0.000
Au 2.452 2.452 2.375
S 0.000 2.452 2.375
S 2.452 0.000 2.375
```

---

La4PAuS2 | PBE | relaxed

Results
E, eV per cell: -49.7
Volume, Å³/atom: 27.18
Space-group type: No. 10
Raw formation energy, meV per atom: -1635

Cell and atoms, written as extended XYZ:
```
8
Lattice="7.354 0.000 0.000 0.000 4.225 0.000 -2.398 0.000 6.997" Properties=species:S:1:pos:R:3 pbc="T T T"
La 1.186 0.000 1.644
La -0.010 2.112 5.314
La 4.966 2.112 1.683
La 3.770 0.000 5.354
P 3.677 0.000 0.000
Au 2.478 2.112 3.499
S -1.199 0.000 3.499
S 0.000 2.112 0.000
```

---

LaPAuS2 | PBE | relaxed

Results
E, eV per cell: -19.5
Volume, Å³/atom: 35.14
E above lowest polymorph, meV per atom: 870.2
Space-group type: No. 123
Raw formation energy, meV per atom: 466

Cell and atoms, written as extended XYZ:
```
5
Lattice="5.467 0.000 0.000 0.000 5.467 0.000 0.000 0.000 5.878" Properties=species:S:1:pos:R:3 pbc="T T T"
La 0.000 0.000 0.000
P 0.000 0.000 2.939
Au 2.733 2.733 2.939
S 0.000 2.733 0.000
S 2.733 0.000 0.000
```

---

Number 1: spin magnetization 0.00 μB per formula unit. Number 2: spin magnetization 0.00 μB per formula unit. Number 3: spin magnetization 0.00 μB per formula unit. Number 4: spin magnetization 8.32 μB per formula unit. Number 5: spin magnetization 0.00 μB per formula unit. Number 6: spin magnetization 0.00 μB per formula unit. Number 7: spin magnetization 0.00 μB per formula unit. Number 8: spin magnetization 3.00 μB per formula unit.